No. 1
VASP calculation (meta-GGA SCAN) on a PBEsol-optimized structure of Li4Ti11O24.

abc: 10.1713 10.1713 8.3542
angles: 114.07 114.07 33.78
Fractional positions:
Li  0.0000  0.0000  0.0000
Li  0.1731  0.1731  0.4181
Li  0.5039  0.5039  0.7408
Li  0.5861  0.5861  0.2070
Ti  0.0839  0.5878  0.7080
Ti  0.0885  0.0885  0.7089
Ti  0.2553  0.2553  0.8912
Ti  0.2657  0.7475  0.3709
Ti  0.4243  0.4243  0.0457
Ti  0.4249  0.9099  0.0444
Ti  0.5878  0.0839  0.7080
Ti  0.7475  0.2657  0.3709
Ti  0.7471  0.7471  0.3721
Ti  0.9099  0.4249  0.0444
Ti  0.9166  0.9166  0.5226
O  0.0559  0.6187  0.4774
O  0.0800  0.0800  0.4638
O  0.0927  0.0927  0.9538
O  0.1185  0.5536  0.9389
O  0.2242  0.7825  0.6121
O  0.2429  0.2429  0.0991
O  0.2628  0.2628  0.6439
O  0.2635  0.7315  0.1354
O  0.3856  0.9532  0.8074
O  0.4128  0.4128  0.7942
O  0.4300  0.4300  0.2843
O  0.4408  0.9094  0.2799
O  0.5536  0.1185  0.9389
O  0.5738  0.5738  0.4446
O  0.5970  0.5970  0.9659
O  0.6187  0.0559  0.4774
O  0.7315  0.2635  0.1354
O  0.7420  0.7420  0.1312
O  0.7629  0.7629  0.6218
O  0.7825  0.2242  0.6121
O  0.9094  0.4408  0.2799
O  0.9108  0.9108  0.7739
O  0.9304  0.9304  0.3187
O  0.9532  0.3856  0.8074

Computed properties:
Fermi-level density of states in states/eV/cell: 0.0
Space-group type: Cm
M_tot in μB per formula unit: 0.0
Relative energy among the computed polymorphs in eV per atom: 0.0514
Raw formation energy in meV per atom: -3101


No. 2
VASP calculation (meta-GGA SCAN) on a PBEsol-optimized structure of Li7Ti11O24.

abc: 10.2046 10.2046 8.3465
angles: 114.04 114.04 33.62
Fractional positions:
Li  0.0000  0.0000  0.0000
Li  0.0815  0.0815  0.4583
Li  0.2518  0.2518  0.8768
Li  0.4164  0.4164  0.7960
Li  0.5836  0.5836  0.2040
Li  0.7482  0.7482  0.1232
Li  0.9185  0.9185  0.5417
Ti  0.0000  0.5000  0.5000
Ti  0.1624  0.1624  0.1649
Ti  0.1638  0.6737  0.1628
Ti  0.3263  0.8362  0.8372
Ti  0.3336  0.3336  0.3333
Ti  0.5000  0.0000  0.5000
Ti  0.5000  0.5000  0.5000
Ti  0.6664  0.6664  0.6667
Ti  0.6737  0.1638  0.1628
Ti  0.8362  0.3263  0.8372
Ti  0.8376  0.8376  0.8351
O  0.0113  0.0113  0.7606
O  0.0266  0.4741  0.2630
O  0.1446  0.6783  0.9287
O  0.1590  0.1590  0.9203
O  0.1739  0.1739  0.4118
O  0.1927  0.6408  0.4048
O  0.3217  0.8554  0.0713
O  0.3252  0.3252  0.5639
O  0.3420  0.3420  0.1075
O  0.3592  0.8073  0.5952
O  0.4741  0.0266  0.2630
O  0.4921  0.4921  0.2529
O  0.5079  0.5079  0.7471
O  0.5259  0.9734  0.7370
O  0.6408  0.1927  0.4048
O  0.6580  0.6580  0.8925
O  0.6748  0.6748  0.4361
O  0.6783  0.1446  0.9287
O  0.8073  0.3592  0.5952
O  0.8261  0.8261  0.5882
O  0.8410  0.8410  0.0797
O  0.8554  0.3217  0.0713
O  0.9734  0.5259  0.7370
O  0.9887  0.9887  0.2394

Computed properties:
Fermi-level density of states in states/eV/cell: 11.1
Space-group type: C2/m
M_tot in μB per formula unit: 0.0
Relative energy among the computed polymorphs in eV per atom: 0.0000
Raw formation energy in meV per atom: -3093


No. 3
VASP calculation (meta-GGA SCAN) on a PBEsol-optimized structure of LiTi2O4.

abc: 3.8482 8.1192 8.7812
angles: 90.00 90.00 90.00
Fractional positions:
Li  0.0000  0.1245  0.1472
Li  0.0000  0.8755  0.8528
Li  0.5000  0.1245  0.3528
Li  0.5000  0.8755  0.6472
Ti  0.0000  0.1458  0.6149
Ti  0.0000  0.3876  0.3843
Ti  0.0000  0.6124  0.6157
Ti  0.0000  0.8542  0.3851
Ti  0.5000  0.1458  0.8851
Ti  0.5000  0.3876  0.1157
Ti  0.5000  0.6124  0.8843
Ti  0.5000  0.8542  0.1149
O  0.0000  0.1193  0.8519
O  0.0000  0.1231  0.3937
O  0.0000  0.3671  0.1496
O  0.0000  0.3761  0.6114
O  0.0000  0.6239  0.3886
O  0.0000  0.6328  0.8504
O  0.0000  0.8769  0.6063
O  0.0000  0.8807  0.1481
O  0.5000  0.1193  0.6481
O  0.5000  0.1231  0.1063
O  0.5000  0.3671  0.3504
O  0.5000  0.3761  0.8886
O  0.5000  0.6239  0.1114
O  0.5000  0.6328  0.6496
O  0.5000  0.8769  0.8937
O  0.5000  0.8807  0.3519

Computed properties:
Fermi-level density of states in states/eV/cell: 9.9
Space-group type: Pmna
M_tot in μB per formula unit: 0.0
Relative energy among the computed polymorphs in eV per atom: 0.0233
Raw formation energy in meV per atom: -3086


No. 4
VASP calculation (meta-GGA SCAN) on a PBEsol-optimized structure of Li3Ti8O16.

abc: 5.9104 11.8181 8.3607
angles: 90.00 90.00 90.00
Fractional positions:
Li  0.2500  0.0026  0.1266
Li  0.2500  0.4974  0.1266
Li  0.2500  0.7500  0.3783
Li  0.7500  0.2500  0.6217
Li  0.7500  0.5026  0.8734
Li  0.7500  0.9974  0.8734
Ti  0.0000  0.0000  0.5000
Ti  0.0000  0.5000  0.5000
Ti  0.0010  0.2500  0.0014
Ti  0.2500  0.1255  0.7450
Ti  0.2500  0.3745  0.7450
Ti  0.2500  0.6267  0.7508
Ti  0.2500  0.8733  0.7508
Ti  0.4990  0.2500  0.0014
Ti  0.5000  0.0000  0.5000
Ti  0.5000  0.5000  0.5000
Ti  0.5010  0.7500  0.9986
Ti  0.7500  0.1267  0.2492
Ti  0.7500  0.3733  0.2492
Ti  0.7500  0.6255  0.2550
Ti  0.7500  0.8745  0.2550
Ti  0.9990  0.7500  0.9986
O  0.0244  0.0001  0.7381
O  0.0244  0.4999  0.7381
O  0.0245  0.2500  0.7613
O  0.0299  0.7500  0.7679
O  0.2500  0.1089  0.5153
O  0.2500  0.1375  0.9856
O  0.2500  0.3625  0.9856
O  0.2500  0.3911  0.5153
O  0.2500  0.6132  0.5132
O  0.2500  0.6365  0.9901
O  0.2500  0.8635  0.9901
O  0.2500  0.8868  0.5132
O  0.4701  0.7500  0.7679
O  0.4755  0.2500  0.7613
O  0.4756  0.0001  0.7381
O  0.4756  0.4999  0.7381
O  0.5244  0.9999  0.2619
O  0.5244  0.5001  0.2619
O  0.5245  0.7500  0.2387
O  0.5299  0.2500  0.2321
O  0.7500  0.1132  0.4868
O  0.7500  0.1365  0.0099
O  0.7500  0.3635  0.0099
O  0.7500  0.3868  0.4868
O  0.7500  0.6089  0.4847
O  0.7500  0.6375  0.0144
O  0.7500  0.8625  0.0144
O  0.7500  0.8911  0.4847
O  0.9701  0.2500  0.2321
O  0.9755  0.7500  0.2387
O  0.9756  0.9999  0.2619
O  0.9756  0.5001  0.2619

Computed properties:
Fermi-level density of states in states/eV/cell: 18.0
Space-group type: Pmmn
M_tot in μB per formula unit: 0.0
Raw formation energy in meV per atom: -3131